# 1
Density functional theory data (GGA-PBEsol) for an optimized crystal structure of AgTe3Cl.

Computed properties:
Uncorrected energy in eV per atom: -2.37
Uncorrected formation energy in eV/atom: 0.808

a b c (Å): 5.271 5.271 5.271
angles (deg): 90.00 90.00 90.00
Fractional coordinates of all 5 atoms:
1 Ag 0.000 0.000 0.000
2 Te 0.000 0.500 0.500
3 Te 0.500 0.000 0.500
4 Te 0.500 0.500 0.000
5 Cl 0.500 0.500 0.500

***

# 2
Density functional theory data (GGA-PBEsol) for an optimized crystal structure of AgTe3Cl.

Computed properties:
Uncorrected energy in eV per atom: -2.65
Uncorrected formation energy in eV/atom: 0.530

a b c (Å): 5.315 5.315 5.315
angles (deg): 90.00 90.00 90.00
Fractional coordinates of all 5 atoms:
1 Ag 0.000 0.000 0.000
2 Te 0.000 0.000 0.500
3 Te 0.000 0.500 0.000
4 Te 0.500 0.000 0.000
5 Cl 0.500 0.500 0.500

***

# 3
Density functional theory data (GGA-PBEsol) for an optimized crystal structure of Ti2AgCl.

Computed properties:
Uncorrected energy in eV per atom: -5.41
Uncorrected formation energy in eV/atom: 0.085

a b c (Å): 6.352 6.352 6.352
angles (deg): 90.00 90.00 90.00
Fractional coordinates of all 16 atoms:
1 Ti 0.250 0.250 0.250
2 Ti 0.250 0.250 0.750
3 Ti 0.250 0.750 0.250
4 Ti 0.250 0.750 0.750
5 Ti 0.750 0.250 0.250
6 Ti 0.750 0.250 0.750
7 Ti 0.750 0.750 0.250
8 Ti 0.750 0.750 0.750
9 Ag 0.000 0.000 0.000
10 Ag 0.000 0.500 0.500
11 Ag 0.500 0.000 0.500
12 Ag 0.500 0.500 0.000
13 Cl 0.000 0.000 0.500
14 Cl 0.000 0.500 0.000
15 Cl 0.500 0.000 0.000
16 Cl 0.500 0.500 0.500